{
  "formula": "Mg2SnPb4",
  "functional": "PBE",
  "state": "relaxed",
  "cell": [[4.927, 0.000, 0.000], [2.463, 4.267, 0.000], [2.463, 1.422, 10.173]],
  "species": ["Pb", "Pb", "Pb", "Pb", "Mg", "Mg", "Sn"],
  "frac_coords": [[0.300, 0.300, 0.100], [0.886, 0.886, 0.341], [0.114, 0.114, 0.659], [0.700, 0.700, 0.900], [0.402, 0.402, 0.795], [0.598, 0.598, 0.205], [0.500, 0.500, 0.500]],
  "n_ef_per_ev_atom": 0.612,
  "formation_enthalpy_0k_ev_per_atom": 0.053,
  "final_energy_ev_per_cell": -21.65
}